# Ba10Nd4YMo5O30 (PBE with a Hubbard U, optimized geometry)
data_Ba10Nd4YMo5O30
_chemical_formula_sum 'Ba10 Nd4 Y1 Mo5 O30'
_symmetry_space_group_name_H-M 'P -1'
_symmetry_Int_Tables_number 2
_symmetry_space_group_name_Hall '-P 1'
_cell_length_a 6.0627
_cell_length_b 6.1122
_cell_length_c 25.0883
_cell_angle_alpha 89.37
_cell_angle_beta 83.32
_cell_angle_gamma 60.45
loop_
_atom_site_label
_atom_site_type_symbol
_atom_site_fract_x
_atom_site_fract_y
_atom_site_fract_z
Ba1 Ba 0.0008 0.2551 0.2506
Ba2 Ba 0.2027 0.6479 0.4518
Ba3 Ba 0.2078 0.1479 0.9498
Ba4 Ba 0.3907 0.0486 0.6471
Ba5 Ba 0.4009 0.5494 0.1519
Nd1 Nd 0.1004 0.2031 0.0998
Nd2 Nd 0.3007 0.6013 0.3019
Y1 Y 0.5000 0.0000 0.5000
Mo1 Mo 0.0955 0.6997 0.5978
Mo2 Mo 0.2990 0.0977 0.7989
Mo3 Mo 0.5000 0.5000 0.0000
O1 O 0.0438 0.2653 0.7448
O2 O 0.0651 0.0068 0.8399
O3 O 0.0859 0.9683 0.3575
O4 O 0.1358 0.4337 0.8432
O5 O 0.1473 0.4039 0.3612
O6 O 0.1513 0.1458 0.4542
O7 O 0.2497 0.4011 0.0395
O8 O 0.2734 0.6529 0.9449
O9 O 0.2821 0.3605 0.5529
O10 O 0.3131 0.8384 0.0436
O11 O 0.3321 0.8114 0.5561
O12 O 0.3330 0.5422 0.6505
O13 O 0.4443 0.0693 0.1471
O14 O 0.4613 0.7614 0.7547
O15 O 0.4671 0.8112 0.2423
# raw total energy	-361.09	eV for the cell shown
# calculated volume	16.04	Å³ per atom
# magnetic moment	0.10	μB/atom